The following is a PBE-GGA calculation of a relaxed structure of Li2TlHg, from Alexandria via LeMat-Bulk.

a b c (Å): 3.2899 5.6115 10.9863
angles (deg): 90.00 90.00 90.00
Space group Immm (No. 71)
Symmetry-distinct sites (fractional):
Li: 0.0000 0.0000 0.2432 x4
Tl: 0.0000 0.0000 0.5000 x2
Hg: 0.0000 0.0000 0.0000 x2

Summary:
E_tot: -12.90 eV for the cell shown
DFT formation energy: 11 meV per atom
ρ: 6.9 Mg/m³